Computed, not measured: a geometry-optimized Ac6Pd2Pt3Se structure at the PBE-GGA level of DFT.

The structure in POSCAR format:
```
Ac6Pd2Pt3Se
1.0
9.7123 -2.1957 0.0000
9.7123 2.1957 0.0000
-2.1463 0.0000 8.7142
Ac Pd Pt Se
6 2 3 1
Direct
0.0014 0.0014 0.2367 Ac
0.3277 0.3277 0.4203 Ac
0.3346 0.3346 0.9159 Ac
0.6654 0.6654 0.0841 Ac
0.6723 0.6723 0.5797 Ac
0.9986 0.9986 0.7633 Ac
0.1662 0.1662 0.8304 Pd
0.8338 0.8338 0.1696 Pd
0.1648 0.1648 0.3305 Pt
0.5000 0.5000 0.0000 Pt
0.8352 0.8352 0.6695 Pt
0.5000 0.5000 0.5000 Se
```

Values from the calculation:
* total DFT energy (no corrections): -5.866 eV per atom
* M_tot: 0.0 μB/f.u.
* E_form (uncorrected): -1.1455 eV/atom
* symmetry: No. 12
* crystal system: monoclinic